--- i ---
This record from Alexandria via LeMat-Bulk describes Eu2HgSb after structural relaxation. The functional is PBE-GGA.

SG: Fm-3m, No. 225
magnetic moment: 14.9 μB/f.u.

a = 5.545 Å, b = 5.545 Å, c = 5.545 Å
α = 60.00°, β = 60.00°, γ = 60.00°
Atoms (fractional coordinates):
Eu: 0.250 0.250 0.250
Eu: 0.750 0.750 0.750
Hg: 0.000 0.000 0.000
Sb: 0.500 0.500 0.500

=====

--- ii ---
This record from Alexandria via LeMat-Bulk describes Eu2HgSb after structural relaxation. The functional is PBE-GGA.

SG: P4/mmm, No. 123
magnetic moment: 14.1 μB/f.u.

a = 5.335 Å, b = 5.335 Å, c = 4.234 Å
α = 90.00°, β = 90.00°, γ = 90.00°
Atoms (fractional coordinates):
Eu: 0.000 0.500 0.000
Eu: 0.500 0.000 0.000
Hg: 0.000 0.000 0.500
Sb: 0.500 0.500 0.500

=====

Ranking the structures above by stability puts ii first and i last.